# 1
This record from Alexandria describes an optimized crystal structure of Nd5Y8Tm. The functional is PBE.

Summary:
total magnetization: 0.00 μB/atom
total energy: -0.4027 Ry per atom

Cell: 8.531 8.513 8.531 Å, 110.81 107.02 110.70°
Element x y z (fractional)
1 Nd 0.031 0.324 0.136
2 Nd 0.864 0.895 0.189
3 Nd 0.813 0.676 0.707
4 Nd 0.500 0.000 0.500
5 Nd 0.294 0.105 0.969
6 Y 0.168 0.738 0.075
7 Y 0.925 0.094 0.664
8 Y 0.732 0.254 0.335
9 Y 0.665 0.397 0.919
10 Y 0.522 0.603 0.268
11 Y 0.570 0.906 0.831
12 Y 0.337 0.262 0.430
13 Y 0.081 0.746 0.478
14 Tm 0.250 0.500 0.750



# 2
This record from Alexandria describes an optimized crystal structure of Nd2Y6Tm5. The functional is PBE.

Summary:
total magnetization: 0.00 μB/atom
total energy: -0.3919 Ry per atom

Cell: 3.580 11.718 20.149 Å, 90.00 90.00 90.00°
Element x y z (fractional)
1 Nd 0.000 0.337 0.285
2 Nd 0.000 0.663 0.715
3 Nd 0.000 0.837 0.215
4 Nd 0.000 0.163 0.785
5 Y 0.000 0.084 0.367
6 Y 0.000 0.916 0.633
7 Y 0.000 0.584 0.133
8 Y 0.000 0.416 0.867
9 Y 0.500 0.324 0.126
10 Y 0.500 0.676 0.874
11 Y 0.500 0.824 0.374
12 Y 0.500 0.176 0.626
13 Y 0.000 0.557 0.421
14 Y 0.000 0.443 0.579
15 Y 0.000 0.057 0.079
16 Y 0.000 0.943 0.921
17 Tm 0.500 0.300 0.450
18 Tm 0.500 0.700 0.550
19 Tm 0.500 0.800 0.050
20 Tm 0.500 0.200 0.950
21 Tm 0.500 0.597 0.276
22 Tm 0.500 0.403 0.724
23 Tm 0.500 0.097 0.224
24 Tm 0.500 0.903 0.776
25 Tm 0.500 0.500 0.000
26 Tm 0.500 0.000 0.500